#i
# ZnOs2Br GGA-PBEsol relaxed
# - Density: 14.6 g/cm³
data_ZnOs2Br
_chemical_formula_sum 'Zn2 Os4 Br2'
_cell_length_a 8.718
_cell_length_b 2.865
_cell_length_c 4.905
_cell_angle_alpha 90.00
_cell_angle_beta 102.28
_cell_angle_gamma 90.00
_space_group_name_H-M_alt 'C 1 2/m 1'
_space_group_IT_number 12
loop_
_space_group_symop_operation_xyz
'x,y,z'
'-x,-y,-z'
'-x,y,-z'
'x,-y,z'
'x+1/2,y+1/2,z'
'-x+1/2,-y+1/2,-z'
'-x+1/2,y+1/2,-z'
'x+1/2,-y+1/2,z'
loop_
_atom_site_label
_atom_site_type_symbol
_atom_site_fract_x
_atom_site_fract_y
_atom_site_fract_z
_atom_site_occupancy
Zn1 Zn 0.000 0.000 0.000 1
Os1 Os 0.244 0.500 0.228 1
Br1 Br 0.000 0.500 0.500 1

=====

#ii
# ZnOs2Br GGA-PBEsol relaxed
# - Density: 13.7 g/cm³
data_ZnOs2Br
_chemical_formula_sum 'Zn1 Os2 Br1'
_cell_length_a 2.861
_cell_length_b 4.356
_cell_length_c 5.176
_cell_angle_alpha 90.00
_cell_angle_beta 100.12
_cell_angle_gamma 90.00
_space_group_name_H-M_alt 'P 1 2/m 1'
_space_group_IT_number 10
loop_
_space_group_symop_operation_xyz
'x,y,z'
'-x,-y,-z'
'-x,y,-z'
'x,-y,z'
loop_
_atom_site_label
_atom_site_type_symbol
_atom_site_fract_x
_atom_site_fract_y
_atom_site_fract_z
_atom_site_occupancy
Zn1 Zn 0.000 0.000 0.000 1
Os1 Os 0.346 0.500 0.214 1
Br1 Br 0.500 0.000 0.500 1

=====

#iii
# ZnOs2Br GGA-PBEsol relaxed
# - Density: 14.3 g/cm³
data_ZnOs2Br
_chemical_formula_sum 'Zn2 Os4 Br2'
_cell_length_a 2.767
_cell_length_b 4.876
_cell_length_c 9.045
_cell_angle_alpha 90.00
_cell_angle_beta 90.00
_cell_angle_gamma 90.00
_space_group_name_H-M_alt 'C m m m'
_space_group_IT_number 65
_space_group_name_Hall '-C 2 2'
loop_
_atom_site_label
_atom_site_type_symbol
_atom_site_fract_x
_atom_site_fract_y
_atom_site_fract_z
_atom_site_occupancy
Zn1 Zn 0.000 0.000 0.000 1
Os1 Os 0.000 0.500 0.239 1
Br1 Br 0.000 0.000 0.500 1

=====

Name the least stable of them. #iii.

=====

#i
# Zn2OsBr GGA-PBEsol relaxed
# - Density: 10.1 g/cm³
data_Zn2OsBr
_chemical_formula_sum 'Zn6 Os3 Br3'
_cell_length_a 2.8971
_cell_length_b 2.8971
_cell_length_c 27.0829
_cell_angle_alpha 90.00
_cell_angle_beta 90.00
_cell_angle_gamma 120.00
_space_group_name_H-M_alt 'R 3 m'
_space_group_IT_number 160
_space_group_name_Hall 'R 3 -2"'
loop_
_atom_site_label
_atom_site_type_symbol
_atom_site_fract_x
_atom_site_fract_y
_atom_site_fract_z
_atom_site_occupancy
Zn1 Zn 0.0000 0.0000 0.0000 1
Zn2 Zn 0.0000 0.0000 0.2544 1
Os1 Os 0.0000 0.0000 0.7419 1
Br1 Br 0.0000 0.0000 0.4832 1

=====

#ii
# Zn2OsBr GGA-PBEsol relaxed
# - Density: 10.5 g/cm³
data_Zn2OsBr
_chemical_formula_sum 'Zn8 Os4 Br4'
_cell_length_a 6.328
_cell_length_b 6.328
_cell_length_c 6.328
_cell_angle_alpha 90.00
_cell_angle_beta 90.00
_cell_angle_gamma 90.00
_space_group_name_H-M_alt 'F m -3 m'
_space_group_IT_number 225
_space_group_name_Hall '-F 4 2 3'
loop_
_atom_site_label
_atom_site_type_symbol
_atom_site_fract_x
_atom_site_fract_y
_atom_site_fract_z
_atom_site_occupancy
Zn1 Zn 0.250 0.250 0.250 1
Os1 Os 0.000 0.000 0.000 1
Br1 Br 0.000 0.000 0.500 1

=====

Name the least stable of them. #ii.

=====

#i
# P3Br GGA-PBEsol relaxed
# - Density: 2.5 g/cm³
data_P3Br
_chemical_formula_sum 'P3 Br1'
_cell_length_a 4.866
_cell_length_b 4.866
_cell_length_c 4.866
_cell_angle_alpha 90.00
_cell_angle_beta 90.00
_cell_angle_gamma 90.00
_space_group_name_H-M_alt 'P m -3 m'
_space_group_IT_number 221
_space_group_name_Hall '-P 4 2 3'
loop_
_atom_site_label
_atom_site_type_symbol
_atom_site_fract_x
_atom_site_fract_y
_atom_site_fract_z
_atom_site_occupancy
P1 P 0.000 0.000 0.500 1
Br1 Br 0.000 0.000 0.000 1

=====

#ii
# P3Br GGA-PBEsol relaxed
# - Density: 3.0 g/cm³
data_P3Br
_chemical_formula_sum 'P12 Br4'
_cell_length_a 7.502
_cell_length_b 16.828
_cell_length_c 3.018
_cell_angle_alpha 90.00
_cell_angle_beta 90.00
_cell_angle_gamma 90.00
_space_group_name_H-M_alt 'C m c m'
_space_group_IT_number 63
_space_group_name_Hall '-C 2c 2'
loop_
_atom_site_label
_atom_site_type_symbol
_atom_site_fract_x
_atom_site_fract_y
_atom_site_fract_z
_atom_site_occupancy
P1 P 0.000 0.112 0.250 1
P2 P 0.146 0.195 0.750 1
Br1 Br 0.000 0.386 0.250 1

=====

#iii
# P3Br GGA-PBEsol relaxed
# - Density: 4.4 g/cm³
data_P3Br
_chemical_formula_sum 'P3 Br1'
_cell_length_a 4.638
_cell_length_b 4.638
_cell_length_c 3.050
_cell_angle_alpha 90.00
_cell_angle_beta 90.00
_cell_angle_gamma 90.00
_space_group_name_H-M_alt 'P 4/m m m'
_space_group_IT_number 123
_space_group_name_Hall '-P 4 2'
loop_
_atom_site_label
_atom_site_type_symbol
_atom_site_fract_x
_atom_site_fract_y
_atom_site_fract_z
_atom_site_occupancy
P1 P 0.000 0.000 0.000 1
P2 P 0.000 0.500 0.500 1
Br1 Br 0.500 0.500 0.000 1

=====

Name the least stable of them. #i.

=====

#i
# PPbBr2 GGA-PBEsol relaxed
# - Density: 6.1 g/cm³
data_PPbBr2
_chemical_formula_sum 'P2 Pb2 Br4'
_cell_length_a 6.568
_cell_length_b 8.977
_cell_length_c 4.897
_cell_angle_alpha 90.00
_cell_angle_beta 131.72
_cell_angle_gamma 90.00
_space_group_name_H-M_alt 'C 1 2/m 1'
_space_group_IT_number 12
loop_
_space_group_symop_operation_xyz
'x,y,z'
'-x,-y,-z'
'-x,y,-z'
'x,-y,z'
'x+1/2,y+1/2,z'
'-x+1/2,-y+1/2,-z'
'-x+1/2,y+1/2,-z'
'x+1/2,-y+1/2,z'
loop_
_atom_site_label
_atom_site_type_symbol
_atom_site_fract_x
_atom_site_fract_y
_atom_site_fract_z
_atom_site_occupancy
P1 P 0.000 0.000 0.000 1
Pb1 Pb 0.000 0.500 0.000 1
Br1 Br 0.250 0.250 0.500 1

=====

#ii
# PPbBr2 GGA-PBEsol relaxed
# - Density: 6.6 g/cm³
data_PPbBr2
_chemical_formula_sum 'P2 Pb2 Br4'
_cell_length_a 3.441
_cell_length_b 6.234
_cell_length_c 9.276
_cell_angle_alpha 90.00
_cell_angle_beta 90.00
_cell_angle_gamma 90.00
_space_group_name_H-M_alt 'C m m m'
_space_group_IT_number 65
_space_group_name_Hall '-C 2 2'
loop_
_atom_site_label
_atom_site_type_symbol
_atom_site_fract_x
_atom_site_fract_y
_atom_site_fract_z
_atom_site_occupancy
P1 P 0.000 0.000 0.000 1
Pb1 Pb 0.000 0.000 0.500 1
Br1 Br 0.000 0.500 0.208 1

=====

#iii
# PPbBr2 GGA-PBEsol relaxed
# - Density: 6.9 g/cm³
data_PPbBr2
_chemical_formula_sum 'P3 Pb3 Br6'
_cell_length_a 3.4940
_cell_length_b 3.4940
_cell_length_c 27.0562
_cell_angle_alpha 90.00
_cell_angle_beta 90.00
_cell_angle_gamma 120.00
_space_group_name_H-M_alt 'R -3 m'
_space_group_IT_number 166
_space_group_name_Hall '-R 3 2"'
loop_
_atom_site_label
_atom_site_type_symbol
_atom_site_fract_x
_atom_site_fract_y
_atom_site_fract_z
_atom_site_occupancy
P1 P 0.0000 0.0000 0.0000 1
Pb1 Pb 0.0000 0.0000 0.5000 1
Br1 Br 0.0000 0.0000 0.2583 1

=====

#iv
# PPbBr2 GGA-PBEsol relaxed
# - Density: 6.8 g/cm³
data_PPbBr2
_chemical_formula_sum 'P1 Pb1 Br2'
_cell_length_a 3.598
_cell_length_b 4.626
_cell_length_c 5.875
_cell_angle_alpha 90.00
_cell_angle_beta 90.00
_cell_angle_gamma 90.00
_space_group_name_H-M_alt 'P m m m'
_space_group_IT_number 47
loop_
_space_group_symop_operation_xyz
'x,y,z'
'-x,-y,-z'
'-x,-y,z'
'x,y,-z'
'x,-y,-z'
'-x,y,z'
'-x,y,-z'
'x,-y,z'
loop_
_atom_site_label
_atom_site_type_symbol
_atom_site_fract_x
_atom_site_fract_y
_atom_site_fract_z
_atom_site_occupancy
P1 P 0.000 0.000 0.000 1
Pb1 Pb 0.500 0.000 0.500 1
Br1 Br 0.000 0.500 0.500 1
Br2 Br 0.500 0.500 0.000 1

=====

Name the least stable of them. #iii.

=====

#i
# PPb2Br GGA-PBEsol relaxed
# - Density: 7.7 g/cm³
data_PPb2Br
_chemical_formula_sum 'P3 Pb6 Br3'
_cell_length_a 4.2141
_cell_length_b 4.2141
_cell_length_c 22.0214
_cell_angle_alpha 90.00
_cell_angle_beta 90.00
_cell_angle_gamma 120.00
_space_group_name_H-M_alt 'R -3 m'
_space_group_IT_number 166
_space_group_name_Hall '-R 3 2"'
loop_
_atom_site_label
_atom_site_type_symbol
_atom_site_fract_x
_atom_site_fract_y
_atom_site_fract_z
_atom_site_occupancy
P1 P 0.0000 0.0000 0.0000 1
Pb1 Pb 0.0000 0.0000 0.2643 1
Br1 Br 0.0000 0.0000 0.5000 1

=====

#ii
# PPb2Br GGA-PBEsol relaxed
# - Density: 7.6 g/cm³
data_PPb2Br
_chemical_formula_sum 'P3 Pb6 Br3'
_cell_length_a 4.1218
_cell_length_b 4.1218
_cell_length_c 23.3909
_cell_angle_alpha 90.00
_cell_angle_beta 90.00
_cell_angle_gamma 120.00
_space_group_name_H-M_alt 'R 3 m'
_space_group_IT_number 160
_space_group_name_Hall 'R 3 -2"'
loop_
_atom_site_label
_atom_site_type_symbol
_atom_site_fract_x
_atom_site_fract_y
_atom_site_fract_z
_atom_site_occupancy
P1 P 0.0000 0.0000 0.0000 1
Pb1 Pb 0.0000 0.0000 0.4860 1
Pb2 Pb 0.0000 0.0000 0.7194 1
Br1 Br 0.0000 0.0000 0.2281 1

=====

Name the least stable of them. #ii.

=====

#i
# P2RuBr GGA-PBEsol relaxed
# - Density: 6.8 g/cm³
data_P2RuBr
_chemical_formula_sum 'P8 Ru4 Br4'
_cell_length_a 6.205
_cell_length_b 6.205
_cell_length_c 6.205
_cell_angle_alpha 90.00
_cell_angle_beta 90.00
_cell_angle_gamma 90.00
_space_group_name_H-M_alt 'F -4 3 m'
_space_group_IT_number 216
_space_group_name_Hall 'F -4 2 3'
loop_
_atom_site_label
_atom_site_type_symbol
_atom_site_fract_x
_atom_site_fract_y
_atom_site_fract_z
_atom_site_occupancy
P1 P 0.000 0.000 0.000 1
P2 P 0.250 0.250 0.250 1
Ru1 Ru 0.250 0.250 0.750 1
Br1 Br 0.000 0.000 0.500 1

=====

#ii
# P2RuBr GGA-PBEsol relaxed
# - Density: 5.4 g/cm³
data_P2RuBr
_chemical_formula_sum 'P2 Ru1 Br1'
_cell_length_a 2.800
_cell_length_b 2.800
_cell_length_c 9.591
_cell_angle_alpha 90.00
_cell_angle_beta 90.00
_cell_angle_gamma 90.00
_space_group_name_H-M_alt 'P 4/m m m'
_space_group_IT_number 123
_space_group_name_Hall '-P 4 2'
loop_
_atom_site_label
_atom_site_type_symbol
_atom_site_fract_x
_atom_site_fract_y
_atom_site_fract_z
_atom_site_occupancy
P1 P 0.000 0.000 0.159 1
Ru1 Ru 0.500 0.500 0.000 1
Br1 Br 0.500 0.500 0.500 1

=====

Name the least stable of them. #i.